## Ba3HoCo2O8 (GGA+U)

Data for an optimized crystal structure of Ba3HoCo2O8.

Summary:
Total energy ... -6.45 eV/atom
SG ... P-3m1, No. 164
Density ... 5.81 Mg/m³

Lattice parameters (Å, degrees): 5.9822 5.9822 7.5850 90.00 90.00 120.00
Closest atoms and distances in Å follow each position.
Fractional positions:
Ba1 0.3333 0.6667 0.6590  1 O 2.49
Ba2 0.6667 0.3333 0.3410  1 O 2.49
Ba3 0.0000 0.0000 0.0000  6 O 3.00
Ho1 0.0000 0.0000 0.5000  6 O 2.23
Co1 0.3333 0.6667 0.2191  4 O 1.75-1.86
Co2 0.6667 0.3333 0.7809  4 O 1.75-1.86
O1 0.3333 0.6667 0.9879  1 Co 1.75
O2 0.6667 0.3333 0.0121  1 Co 1.75
O3 0.1700 0.8300 0.3194  1 Co 1.86
O4 0.8300 0.1700 0.6806  1 Co 1.86
O5 0.1700 0.3400 0.3194  1 Co 1.86
O6 0.8300 0.6600 0.6806  1 Co 1.86
O7 0.6600 0.8300 0.3194  1 Co 1.86
O8 0.3400 0.1700 0.6806  1 Co 1.86